A geometry-optimized Zr12Sn6Ge structure, computed with PBE.

a = 7.895 Å, b = 7.895 Å, c = 7.895 Å
α = 98.36°, β = 98.36°, γ = 98.36°
Atoms (fractional coordinates):
Zr: 0.033 0.338 0.073
Zr: 0.073 0.033 0.338
Zr: 0.207 0.422 0.537
Zr: 0.338 0.073 0.033
Zr: 0.422 0.537 0.207
Zr: 0.463 0.793 0.578
Zr: 0.537 0.207 0.422
Zr: 0.578 0.463 0.793
Zr: 0.662 0.927 0.967
Zr: 0.793 0.578 0.463
Zr: 0.927 0.967 0.662
Zr: 0.967 0.662 0.927
Sn: 0.117 0.676 0.315
Sn: 0.315 0.117 0.676
Sn: 0.324 0.685 0.883
Sn: 0.676 0.315 0.117
Sn: 0.685 0.883 0.324
Sn: 0.883 0.324 0.685
Ge: 0.000 0.000 0.000

ΔE_f (eV per atom): -0.117
Theoretical density (g/cm³): 6.6
Calculated volume (Å³ per atom): 24.98